1.
VASP calculation (PBE) on a relaxed structure of BeCu2Te.

Cell lengths 6.2913, 6.2913, 6.2913 Å; angles 90.00, 90.00, 90.00 degrees
Fractional positions:
Be  0.0000  0.0000  0.0000
Be  0.0000  0.5000  0.5000
Be  0.5000  0.0000  0.5000
Be  0.5000  0.5000  0.0000
Cu  0.0000  0.0000  0.5000
Cu  0.0000  0.5000  0.0000
Cu  0.2500  0.2500  0.7500
Cu  0.2500  0.7500  0.2500
Cu  0.5000  0.0000  0.0000
Cu  0.5000  0.5000  0.5000
Cu  0.7500  0.2500  0.2500
Cu  0.7500  0.7500  0.7500
Te  0.2500  0.2500  0.2500
Te  0.2500  0.7500  0.7500
Te  0.7500  0.2500  0.7500
Te  0.7500  0.7500  0.2500

Output
Calculated density = 7.034 g/cm3
Energy = -13.01 eV/f.u.
Polymorph energy (0 for the lowest one) = 128.9 kJ/mol of formula units

=====

2.
VASP calculation (PBE) on a relaxed structure of BeCuTe3.

Cell lengths 4.9387, 4.9387, 4.9387 Å; angles 90.00, 90.00, 90.00 degrees
Fractional positions:
Be  0.0000  0.0000  0.0000
Cu  0.5000  0.5000  0.5000
Te  0.0000  0.0000  0.5000
Te  0.0000  0.5000  0.0000
Te  0.5000  0.0000  0.0000

Output
Calculated density = 6.277 g/cm3
Energy = -13.95 eV/f.u.
Polymorph energy (0 for the lowest one) = 0.0 kJ/mol of formula units

=====

3.
VASP calculation (PBE) on a relaxed structure of BeCu2Te.

Cell lengths 7.4843, 2.9751, 5.7070 Å; angles 90.00, 99.42, 90.00 degrees
Fractional positions:
Be  0.0000  0.0000  0.0000
Be  0.5000  0.5000  0.0000
Cu  0.2253  0.5000  0.1649
Cu  0.2747  0.0000  0.8351
Cu  0.7253  0.0000  0.1649
Cu  0.7747  0.5000  0.8351
Te  0.0000  0.5000  0.5000
Te  0.5000  0.0000  0.5000

Output
Calculated density = 6.986 g/cm3
Energy = -14.12 eV/f.u.
Polymorph energy (0 for the lowest one) = 21.9 kJ/mol of formula units

=====

4.
VASP calculation (PBE) on a relaxed structure of BeCuTe2.

Cell lengths 3.6407, 7.3167, 7.7507 Å; angles 90.00, 90.00, 90.00 degrees
Fractional positions:
Be  0.0000  0.0000  0.0000
Be  0.5000  0.5000  0.5000
Cu  0.0000  0.5000  0.0000
Cu  0.5000  0.0000  0.5000
Te  0.0000  0.2676  0.5000
Te  0.0000  0.7324  0.5000
Te  0.5000  0.2324  0.0000
Te  0.5000  0.7676  0.0000

Output
Calculated density = 5.272 g/cm3
Energy = -12.72 eV/f.u.

=====

5.
VASP calculation (PBE) on a relaxed structure of BeCuTe4.

Cell lengths 6.2862, 6.2862, 6.2862 Å; angles 60.00, 60.00, 60.00 degrees
Fractional positions:
Be  0.0000  0.0000  0.0000
Cu  0.7500  0.7500  0.7500
Te  0.3746  0.3746  0.3746
Te  0.3746  0.3746  0.8764
Te  0.3746  0.8764  0.3746
Te  0.8764  0.3746  0.3746

Output
Calculated density = 5.511 g/cm3
Energy = -14.13 eV/f.u.

=====

6.
VASP calculation (PBE) on a relaxed structure of BeCu2Te.

Cell lengths 4.9223, 4.9375, 5.0558 Å; angles 90.00, 90.00, 90.00 degrees
Fractional positions:
Be  0.0000  0.0000  0.0000
Be  0.5000  0.5000  0.0000
Cu  0.0000  0.0000  0.4498
Cu  0.0000  0.5000  0.2495
Cu  0.5000  0.0000  0.2495
Cu  0.5000  0.5000  0.4498
Te  0.0000  0.5000  0.7563
Te  0.5000  0.0000  0.7563

Output
Calculated density = 7.127 g/cm3
Energy = -13.79 eV/f.u.
Polymorph energy (0 for the lowest one) = 53.7 kJ/mol of formula units

=====

7.
VASP calculation (PBE) on a relaxed structure of BeCuTe2.

Cell lengths 6.9538, 3.7712, 6.6121 Å; angles 90.00, 109.89, 90.00 degrees
Fractional positions:
Be  0.0000  0.0000  0.0000
Be  0.5000  0.5000  0.0000
Cu  0.0000  0.5000  0.5000
Cu  0.5000  0.0000  0.5000
Te  0.2104  0.5000  0.2383
Te  0.2896  0.0000  0.7617
Te  0.7104  0.0000  0.2383
Te  0.7896  0.5000  0.7617

Output
Calculated density = 6.676 g/cm3
Energy = -13.82 eV/f.u.

=====

8.
VASP calculation (PBE) on a relaxed structure of BeCuTe2.

Cell lengths 3.1033, 3.7472, 7.3849 Å; angles 90.00, 90.67, 90.00 degrees
Fractional positions:
Be  0.0000  0.0000  0.0000
Cu  0.0000  0.0000  0.5000
Te  0.1324  0.5000  0.7616
Te  0.8676  0.5000  0.2384

Output
Calculated density = 6.338 g/cm3
Energy = -12.94 eV/f.u.

=====

9.
VASP calculation (PBE) on a relaxed structure of BeCuTe.

Cell lengths 3.8978, 3.8978, 7.0923 Å; angles 90.00, 90.00, 90.00 degrees
Fractional positions:
Be  0.0000  0.0000  0.0000
Be  0.5000  0.5000  0.5000
Cu  0.0000  0.0000  0.7025
Cu  0.5000  0.5000  0.2025
Te  0.0000  0.0000  0.3398
Te  0.5000  0.5000  0.8398

Output
Calculated density = 6.169 g/cm3
Energy = -9.61 eV/f.u.
Polymorph energy (0 for the lowest one) = 130.4 kJ/mol of formula units

=====

10.
VASP calculation (PBE) on a relaxed structure of BeCuTe2.

Cell lengths 3.7043, 3.7043, 13.2686 Å; angles 90.00, 90.00, 90.00 degrees
Fractional positions:
Be  0.0000  0.0000  0.0000
Be  0.5000  0.5000  0.5000
Cu  0.0000  0.5000  0.7500
Cu  0.5000  0.0000  0.2500
Te  0.0000  0.0000  0.5000
Te  0.0000  0.5000  0.2500
Te  0.5000  0.0000  0.7500
Te  0.5000  0.5000  0.0000

Output
Calculated density = 5.978 g/cm3
Energy = -12.56 eV/f.u.

=====

11.
VASP calculation (PBE) on a relaxed structure of BeCu2Te.

Cell lengths 3.8726, 3.8726, 8.0094 Å; angles 90.00, 90.00, 90.00 degrees
Fractional positions:
Be  0.0000  0.0000  0.0000
Be  0.5000  0.5000  0.5000
Cu  0.0000  0.0000  0.5000
Cu  0.0000  0.5000  0.7500
Cu  0.5000  0.0000  0.2500
Cu  0.5000  0.5000  0.0000
Te  0.0000  0.5000  0.2500
Te  0.5000  0.0000  0.7500

Output
Calculated density = 7.291 g/cm3
Energy = -13.49 eV/f.u.
Polymorph energy (0 for the lowest one) = 82.1 kJ/mol of formula units

=====

12.
VASP calculation (PBE) on a relaxed structure of BeCu2Te.

Cell lengths 3.9573, 3.9573, 13.9190 Å; angles 90.00, 90.00, 120.00 degrees
Fractional positions:
Be  0.0000  0.0000  0.0000
Be  0.3333  0.6667  0.6667
Be  0.6667  0.3333  0.3333
Cu  0.0000  0.0000  0.2932
Cu  0.0000  0.0000  0.7068
Cu  0.3333  0.6667  0.3735
Cu  0.3333  0.6667  0.9598
Cu  0.6667  0.3333  0.0402
Cu  0.6667  0.3333  0.6265
Te  0.0000  0.0000  0.5000
Te  0.3333  0.6667  0.1667
Te  0.6667  0.3333  0.8333

Output
Calculated density = 6.959 g/cm3
Energy = -14.22 eV/f.u.
Polymorph energy (0 for the lowest one) = 12.2 kJ/mol of formula units

=====

13.
VASP calculation (PBE) on a relaxed structure of BeCuTe2.

Cell lengths 3.3300, 3.3917, 6.9288 Å; angles 90.00, 90.00, 90.00 degrees
Fractional positions:
Be  0.0000  0.0000  0.0000
Cu  0.0000  0.0000  0.5000
Te  0.5000  0.5000  0.2372
Te  0.5000  0.5000  0.7628

Output
Calculated density = 6.955 g/cm3
Energy = -11.81 eV/f.u.

=====

14.
VASP calculation (PBE) on a relaxed structure of BeCuTe3.

Cell lengths 5.0966, 5.0966, 5.0966 Å; angles 90.00, 90.00, 90.00 degrees
Fractional positions:
Be  0.0000  0.0000  0.0000
Cu  0.5000  0.5000  0.5000
Te  0.0000  0.5000  0.5000
Te  0.5000  0.0000  0.5000
Te  0.5000  0.5000  0.0000

Output
Calculated density = 5.712 g/cm3
Energy = -12.82 eV/f.u.
Polymorph energy (0 for the lowest one) = 108.7 kJ/mol of formula units

=====

15.
VASP calculation (PBE) on a relaxed structure of BeCu2Te.

Cell lengths 6.3225, 6.3225, 6.3225 Å; angles 90.00, 90.00, 90.00 degrees
Fractional positions:
Be  0.0000  0.0000  0.0000
Be  0.0000  0.5000  0.5000
Be  0.5000  0.0000  0.5000
Be  0.5000  0.5000  0.0000
Cu  0.2500  0.2500  0.2500
Cu  0.2500  0.2500  0.7500
Cu  0.2500  0.7500  0.2500
Cu  0.2500  0.7500  0.7500
Cu  0.7500  0.2500  0.2500
Cu  0.7500  0.2500  0.7500
Cu  0.7500  0.7500  0.2500
Cu  0.7500  0.7500  0.7500
Te  0.0000  0.0000  0.5000
Te  0.0000  0.5000  0.0000
Te  0.5000  0.0000  0.0000
Te  0.5000  0.5000  0.5000

Output
Calculated density = 6.930 g/cm3
Energy = -12.97 eV/f.u.
Polymorph energy (0 for the lowest one) = 132.5 kJ/mol of formula units

=====

16.
VASP calculation (PBE) on a relaxed structure of BeCuTe2.

Cell lengths 3.6327, 8.0564, 7.3077 Å; angles 90.00, 90.00, 90.00 degrees
Fractional positions:
Be  0.0000  0.0000  0.0000
Be  0.5000  0.5000  0.0000
Cu  0.0000  0.0000  0.5000
Cu  0.5000  0.5000  0.5000
Te  0.0000  0.5000  0.2330
Te  0.0000  0.5000  0.7670
Te  0.5000  0.0000  0.2330
Te  0.5000  0.0000  0.7670

Output
Calculated density = 5.090 g/cm3
Energy = -12.70 eV/f.u.

=====

17.
VASP calculation (PBE) on a relaxed structure of BeCuTe.

Cell lengths 3.8411, 4.8668, 11.3535 Å; angles 90.00, 90.00, 90.00 degrees
Fractional positions:
Be  0.0000  0.0000  0.0000
Be  0.0000  0.5000  0.5000
Be  0.5000  0.0000  0.5000
Be  0.5000  0.5000  0.0000
Cu  0.0000  0.0000  0.5958
Cu  0.0000  0.5000  0.0958
Cu  0.5000  0.0000  0.0958
Cu  0.5000  0.5000  0.5958
Te  0.0000  0.0000  0.3383
Te  0.0000  0.5000  0.8383
Te  0.5000  0.0000  0.8383
Te  0.5000  0.5000  0.3383

Output
Calculated density = 6.264 g/cm3
Energy = -9.37 eV/f.u.
Polymorph energy (0 for the lowest one) = 152.9 kJ/mol of formula units

=====

18.
VASP calculation (PBE) on a relaxed structure of BeCuTe.

Cell lengths 2.9778, 2.9778, 12.4941 Å; angles 90.00, 90.00, 90.00 degrees
Fractional positions:
Be  0.0000  0.0000  0.0000
Be  0.5000  0.5000  0.5000
Cu  0.0000  0.0000  0.4211
Cu  0.5000  0.5000  0.9211
Te  0.0000  0.0000  0.1992
Te  0.5000  0.5000  0.6992

Output
Calculated density = 6.000 g/cm3
Energy = -10.10 eV/f.u.
Polymorph energy (0 for the lowest one) = 82.9 kJ/mol of formula units

=====

19.
VASP calculation (PBE) on a relaxed structure of BeCuTe2.

Cell lengths 6.4040, 7.4992, 4.3543 Å; angles 90.00, 123.02, 90.00 degrees
Fractional positions:
Be  0.0000  0.0000  0.0000
Be  0.5000  0.5000  0.0000
Cu  0.0000  0.5000  0.0000
Cu  0.5000  0.0000  0.0000
Te  0.2500  0.2500  0.5000
Te  0.2500  0.7500  0.5000
Te  0.7500  0.2500  0.5000
Te  0.7500  0.7500  0.5000

Output
Calculated density = 6.208 g/cm3
Energy = -12.82 eV/f.u.

=====

20.
VASP calculation (PBE) on a relaxed structure of BeCuTe2.

Cell lengths 3.5892, 3.5892, 7.3484 Å; angles 90.00, 90.00, 90.00 degrees
Fractional positions:
Be  0.0000  0.0000  0.0000
Cu  0.5000  0.5000  0.2098
Te  0.0000  0.0000  0.3368
Te  0.5000  0.5000  0.8608

Output
Calculated density = 5.749 g/cm3
Energy = -13.84 eV/f.u.